1.
Sr2ScCu: optimized geometry, PBE.

```
Sr2ScCu
1.0
5.545 0.000 0.000
2.773 4.802 0.000
2.773 1.601 4.528
Sr Sc Cu
2 1 1
direct
0.250 0.250 0.250
0.000 0.000 0.000
0.750 0.750 0.750
0.500 0.500 0.500
```

- distance to the lowest polymorph of the same formula (eV per atom) = 0.385
- raw total energy (eV/atom) = -2.9905
- ΔH_f (0 K) (eV/atom) = 0.457

=====

2.
Na2DyBr5: optimized geometry, PBE.

```
Na2DyBr5
1.0
-7.524 0.070 -3.476
-2.249 -6.988 4.726
-4.246 7.688 9.347
Br Na Dy
20 8 4
direct
0.817 0.750 0.205
0.063 0.250 0.515
0.162 0.954 0.085
0.634 0.250 0.682
0.838 0.454 0.915
0.662 0.454 0.415
0.683 0.750 0.705
0.162 0.546 0.085
0.838 0.046 0.915
0.338 0.954 0.585
0.437 0.250 0.015
0.937 0.750 0.485
0.662 0.046 0.415
0.317 0.250 0.295
0.338 0.546 0.585
0.134 0.750 0.818
0.563 0.750 0.985
0.866 0.250 0.182
0.366 0.750 0.318
0.183 0.250 0.795
0.975 0.992 0.677
0.475 0.492 0.823
0.475 0.008 0.823
0.975 0.508 0.677
0.025 0.492 0.323
0.525 0.508 0.177
0.525 0.992 0.177
0.025 0.008 0.323
0.918 0.750 0.992
0.082 0.250 0.008
0.418 0.250 0.508
0.582 0.750 0.492
```

- distance to the lowest polymorph of the same formula (eV per atom) = 0.008
- raw total energy (eV/atom) = -3.6319
- formation energy without anion corrections (eV per atom) = -1.6813

=====

3.
AlCr2Fe2: optimized geometry, PBE.

```
AlCr2Fe2
1.0
-5.527 2.835 2.896
-3.252 -0.179 -6.030
-0.911 -2.348 0.561
Cr Fe Al
4 4 2
direct
0.116 0.384 0.000
0.884 0.616 0.000
0.384 0.884 0.000
0.616 0.116 0.000
0.176 0.676 0.500
0.676 0.824 0.500
0.324 0.176 0.500
0.824 0.324 0.500
0.000 0.000 0.000
0.500 0.500 0.000
```

- distance to the lowest polymorph of the same formula (eV per atom) = 0.199
- raw total energy (eV/atom) = -7.7967
- ΔH_f (0 K) (eV/atom) = 0.186

=====

4.
Ac2YTl3: optimized geometry, PBE.

```
Ac2YTl3
1.0
-2.755 -2.767 0.228
4.665 -4.352 3.558
-3.217 7.021 12.806
Ac Tl Y
4 6 2
direct
0.988 0.750 0.976
0.837 0.250 0.674
0.012 0.250 0.024
0.163 0.750 0.326
0.759 0.750 0.518
0.578 0.536 0.156
0.422 0.036 0.844
0.422 0.464 0.844
0.241 0.250 0.482
0.578 0.964 0.156
0.657 0.250 0.313
0.343 0.750 0.687
```

- distance to the lowest polymorph of the same formula (eV per atom) = 0.149
- raw total energy (eV/atom) = -3.8371
- ΔH_f (0 K) (eV/atom) = -0.207

=====

5.
Pm4NiRu2: optimized geometry, PBE.

```
Pm4NiRu2
1.0
-1.419 6.453 3.219
-4.374 -5.163 3.183
7.748 -1.962 0.651
Pm Ru Ni
8 4 2
direct
0.258 0.521 0.149
0.382 0.129 0.432
0.982 0.598 0.767
0.762 0.645 0.100
0.843 0.000 0.568
0.905 0.258 0.284
0.372 0.120 0.923
0.503 0.730 0.705
0.755 0.241 0.863
0.270 0.375 0.734
0.489 0.876 0.116
0.645 0.497 0.381
0.993 0.020 0.992
0.090 0.740 0.486
```

- distance to the lowest polymorph of the same formula (eV per atom) = 0.012
- raw total energy (eV/atom) = -6.3871
- ΔH_f (0 K) (eV/atom) = -0.196

=====

6.
NaCeGa4S8: optimized geometry, PBE.

```
NaCeGa4S8
1.0
14.473 -0.047 0.039
7.298 9.460 0.068
7.176 -1.631 9.366
S Ga Ce Na
32 16 4 4
direct
0.707 0.711 0.549
0.279 0.964 0.783
0.964 0.279 0.973
0.047 0.533 0.208
0.309 0.440 0.778
0.277 0.467 0.286
0.212 0.208 0.533
0.783 0.973 0.279
0.543 0.539 0.701
0.472 0.778 0.440
0.941 0.810 0.472
0.973 0.783 0.964
0.217 0.701 0.539
0.203 0.717 0.042
0.971 0.286 0.467
0.549 0.033 0.707
0.711 0.707 0.033
0.810 0.941 0.778
0.286 0.971 0.277
0.042 0.038 0.203
0.701 0.217 0.543
0.038 0.042 0.717
0.539 0.543 0.217
0.778 0.472 0.810
0.778 0.472 0.309
0.033 0.549 0.711
0.208 0.212 0.047
0.533 0.047 0.212
0.472 0.778 0.941
0.440 0.309 0.472
0.467 0.277 0.971
0.717 0.203 0.038
0.741 0.014 0.487
0.759 0.487 0.014
0.656 0.093 0.985
0.984 0.265 0.157
0.763 0.491 0.509
0.014 0.741 0.759
0.266 0.985 0.093
0.985 0.266 0.656
0.093 0.656 0.266
0.265 0.984 0.594
0.236 0.509 0.491
0.491 0.763 0.236
0.509 0.236 0.763
0.157 0.594 0.984
0.594 0.157 0.265
0.487 0.759 0.741
0.250 0.250 0.250
0.500 0.500 0.500
0.750 0.750 0.750
0.000 0.000 0.000
0.753 0.753 0.247
0.497 0.497 0.003
0.247 0.247 0.753
0.003 0.003 0.497
```

- raw total energy (eV/atom) = -4.7480
- formation energy without anion corrections (eV per atom) = -1.0066

=====

7.
DyYInTc: optimized geometry, PBE.

```
DyYInTc
1.0
-2.118 -4.202 1.914
0.807 -4.493 -2.229
2.897 -3.488 2.291
In Tc Dy Y
1 1 1 1
direct
0.500 0.500 0.500
0.000 0.000 0.000
0.750 0.750 0.750
0.250 0.250 0.250
```

- raw total energy (eV/atom) = -6.1968
- ΔH_f (0 K) (eV/atom) = -0.154

=====

8.
AgSnIrO2: optimized geometry, PBE.

```
AgSnIrO2
1.0
-0.217 -1.287 -3.714
-5.017 -1.614 0.853
-1.329 3.525 -1.144
Ag O Sn Ir
1 2 1 1
direct
0.000 0.000 0.000
0.500 0.000 0.000
0.000 0.000 0.500
0.500 0.500 0.500
0.000 0.500 0.000
```

- raw total energy (eV/atom) = -4.4957
- formation energy without anion corrections (eV per atom) = 0.6306

=====

9.
La6Tb2ErMg: optimized geometry, PBE.

```
La6Tb2ErMg
1.0
-5.152 6.070 5.017
-0.430 -6.418 5.904
7.603 4.009 1.537
Tb La Mg Er
4 12 2 2
direct
0.907 0.736 0.803
0.407 0.803 0.736
0.093 0.264 0.197
0.593 0.197 0.264
0.084 0.079 0.750
0.399 0.562 0.320
0.327 0.033 0.457
0.416 0.250 0.921
0.899 0.320 0.562
0.673 0.967 0.543
0.916 0.921 0.250
0.827 0.457 0.033
0.584 0.750 0.079
0.601 0.438 0.680
0.173 0.543 0.967
0.101 0.680 0.438
0.250 0.405 0.595
0.750 0.595 0.405
0.750 0.068 0.932
0.250 0.932 0.068
```

- raw total energy (eV/atom) = -4.4032
- ΔH_f (0 K) (eV/atom) = 0.095

=====

10.
Pu3Cr5Te12: optimized geometry, PBE.

```
Pu3Cr5Te12
1.0
-4.271 6.388 12.435
-9.232 -10.832 -3.334
13.470 -5.423 1.684
Te Cr Pu
48 20 12
direct
0.591 0.710 0.677
0.790 0.467 0.381
0.290 0.409 0.823
0.533 0.323 0.914
0.790 0.323 0.909
0.210 0.533 0.619
0.909 0.086 0.619
0.909 0.823 0.790
0.091 0.914 0.381
0.119 0.710 0.533
0.710 0.591 0.177
0.177 0.086 0.967
0.677 0.467 0.586
0.586 0.967 0.677
0.323 0.533 0.414
0.033 0.414 0.823
0.467 0.677 0.086
0.414 0.033 0.323
0.967 0.586 0.177
0.381 0.967 0.790
0.323 0.790 0.409
0.881 0.290 0.467
0.414 0.381 0.591
0.591 0.881 0.414
0.033 0.619 0.710
0.086 0.177 0.467
0.967 0.381 0.290
0.467 0.790 0.881
0.823 0.914 0.033
0.914 0.091 0.881
0.381 0.414 0.091
0.409 0.119 0.586
0.881 0.591 0.914
0.409 0.290 0.323
0.914 0.823 0.533
0.210 0.677 0.091
0.290 0.881 0.967
0.086 0.909 0.119
0.091 0.177 0.210
0.619 0.586 0.909
0.823 0.909 0.290
0.586 0.619 0.409
0.677 0.210 0.591
0.710 0.119 0.033
0.119 0.409 0.086
0.177 0.091 0.710
0.619 0.033 0.210
0.533 0.210 0.119
0.000 0.500 0.000
0.000 0.000 0.500
0.750 0.625 0.375
0.125 0.750 0.375
0.625 0.875 0.250
0.500 0.000 0.000
0.375 0.125 0.750
0.250 0.875 0.125
0.000 0.500 0.500
0.250 0.375 0.625
0.500 0.500 0.500
0.500 0.500 0.000
0.500 0.000 0.500
0.625 0.750 0.875
0.125 0.375 0.250
0.875 0.250 0.625
0.750 0.125 0.875
0.000 0.000 0.000
0.875 0.625 0.750
0.375 0.250 0.125
0.750 0.375 0.125
0.875 0.125 0.250
0.750 0.875 0.625
0.125 0.250 0.875
0.625 0.375 0.750
0.250 0.125 0.375
0.625 0.250 0.375
0.125 0.875 0.750
0.250 0.625 0.875
0.375 0.625 0.250
0.875 0.750 0.125
0.375 0.750 0.625
```

- raw total energy (eV/atom) = -6.8204
- formation energy without anion corrections (eV per atom) = -0.3798

=====

11.
InP2PbS: optimized geometry, PBE.

```
InP2PbS
1.0
5.396 0.000 0.000
0.000 5.396 0.000
0.000 0.000 5.576
Pb S In P
1 1 1 2
direct
0.500 0.500 0.500
0.000 0.000 0.500
0.000 0.000 0.000
0.500 0.000 0.000
0.000 0.500 0.000
```

- distance to the lowest polymorph of the same formula (eV per atom) = 0.000
- raw total energy (eV/atom) = -3.4795
- formation energy without anion corrections (eV per atom) = 0.7993

=====

12.
HfVCu3: optimized geometry, PBE.

```
HfVCu3
1.0
4.423 0.000 0.000
0.000 4.423 0.000
0.000 0.000 4.423
Cu Hf V
3 1 1
direct
0.000 0.500 0.000
0.000 0.000 0.500
0.500 0.000 0.000
0.500 0.500 0.500
0.000 0.000 0.000
```

- distance to the lowest polymorph of the same formula (eV per atom) = 0.000
- raw total energy (eV/atom) = -5.3280
- ΔH_f (0 K) (eV/atom) = 0.944

=====

13.
NaPmTlSb: optimized geometry, PBE.

```
NaPmTlSb
1.0
5.432 0.000 0.000
2.716 4.704 0.000
2.716 1.568 4.435
Tl Sb Pm Na
1 1 1 1
direct
0.000 0.000 0.000
0.500 0.500 0.500
0.250 0.250 0.250
0.750 0.750 0.750
```

- raw total energy (eV/atom) = -3.5176
- formation energy without anion corrections (eV per atom) = -0.3780

=====

14.
Tb3Nd7: optimized geometry, PBE.

```
Tb3Nd7
1.0
6.271 0.000 0.000
0.000 11.285 0.000
0.000 -5.642 9.773
Tb Nd
6 14
direct
0.363 0.782 0.563
0.863 0.218 0.782
0.863 0.218 0.437
0.363 0.437 0.218
0.863 0.563 0.782
0.363 0.782 0.218
0.376 0.117 0.233
0.376 0.117 0.883
0.876 0.883 0.767
0.376 0.767 0.883
0.746 0.527 0.473
0.452 0.333 0.667
0.246 0.473 0.527
0.746 0.945 0.473
0.246 0.055 0.527
0.876 0.883 0.117
0.952 0.667 0.333
0.246 0.473 0.945
0.746 0.527 0.055
0.876 0.233 0.117
```

- distance to the lowest polymorph of the same formula (eV per atom) = 0.156
- raw total energy (eV/atom) = -4.5570
- ΔH_f (0 K) (eV/atom) = 0.170

=====

15.
KB3Te: optimized geometry, PBE.

```
KB3Te
1.0
5.041 0.000 0.000
0.000 5.041 0.000
0.000 0.000 5.041
K B Te
1 3 1
direct
0.000 0.000 0.000
0.000 0.500 0.000
0.500 0.000 0.000
0.000 0.000 0.500
0.500 0.500 0.500
```

- distance to the lowest polymorph of the same formula (eV per atom) = 1.062
- raw total energy (eV/atom) = -1.8156
- formation energy without anion corrections (eV per atom) = 3.0386

=====

16.
Mn2RuAu: optimized geometry, PBE.

```
Mn2RuAu
1.0
-6.061 1.467 -2.957
-2.576 -5.968 2.319
-5.142 -0.998 1.990
Mn Au Ru
4 2 2
direct
0.875 0.856 0.750
0.144 0.625 0.250
0.606 0.125 0.250
0.375 0.394 0.750
0.000 0.000 0.000
0.750 0.250 0.500
0.250 0.750 0.500
0.500 0.500 0.000
```

- raw total energy (eV/atom) = -7.1448
- ΔH_f (0 K) (eV/atom) = 0.578